DFT (PBE) results for a relaxed structure of Er2Mg2Sc3.

**Calculated density**: 4802 kg/m3
**Space-group type**: C2/m, No. 12
**Calculated total energy**: -4.406 eV per atom
**Energy relative to the elements**: 0.5 eV per formula unit

Cell lengths 5.2625, 5.2625, 8.0647 Å; angles 109.18, 109.18, 60.10 degrees
Atoms (fractional coordinates):
1 Er 0.2156 0.2156 0.1473
2 Er 0.7844 0.7844 0.8527
3 Mg 0.0671 0.0671 0.7010
4 Mg 0.9329 0.9329 0.2990
5 Sc 0.3618 0.3618 0.5853
6 Sc 0.5000 0.5000 0.0000
7 Sc 0.6382 0.6382 0.4147